Computed, not measured: a relaxed Be2AlBr crystal at the PBE level of DFT.

Cell: 4.4810 4.4810 4.4810 Å, 60.00 60.00 60.00°
Atoms (fractional coordinates):
Be 0.2500 0.2500 0.2500
Be 0.7500 0.7500 0.7500
Br 0.5000 0.5000 0.5000
Al 0.0000 0.0000 0.0000

symmetry = Fm-3m
E above lowest polymorph = 0.989 eV per atom
uncorrected formation energy = 1068 meV per atom